Entry from the Alexandria database: Y2GaCo2 at its PBEsol-relaxed geometry (SCAN).

a = 4.004 Å, b = 5.286 Å, c = 5.286 Å
α = 60.55°, β = 67.75°, γ = 67.75°
Last column: magnetic moment on the atom in μB.
Positions (direct):
1 Co 0.500 0.716 0.284  0.69
2 Co 0.500 0.284 0.716  0.69
3 Y 0.206 0.294 0.294  -0.15
4 Y 0.794 0.706 0.706  -0.15
5 Ga 0.000 0.000 0.000  -0.02

Uncorrected energy in eV/cell: -108.44
SG: No. 71
E_form in eV/atom: -0.360
Size of the total moment in μB per formula unit: 0.96
N(E_F) in states/eV/cell: 2.94